VASP calculation (PBE-GGA) on a relaxed structure of LiNdAg.

a = 3.649 Å, b = 3.649 Å, c = 5.815 Å
α = 108.28°, β = 108.28°, γ = 90.00°
Fractional coordinates of all 3 atoms:
Li 0.647 0.647 0.294
Ag 0.258 0.258 0.517
Nd 0.945 0.945 0.889

The final energy comes out at -3.30 eV per atom. The density of states at the Fermi level comes out at 2.58 states/eV per cell.

***

VASP calculation (PBE-GGA) on a relaxed structure of LiNdAg2.

a = 3.417 Å, b = 3.417 Å, c = 7.263 Å
α = 90.00°, β = 90.00°, γ = 90.00°
Fractional coordinates of all 4 atoms:
Nd 0.500 0.500 0.500
Ag 0.000 0.000 0.800
Ag 0.000 0.000 0.200
Li 0.500 0.500 0.000

The final energy comes out at -3.29 eV per atom. The density of states at the Fermi level comes out at 2.83 states/eV per cell.

***

VASP calculation (PBE-GGA) on a relaxed structure of Li7Nd3Ag4.

a = 4.342 Å, b = 8.465 Å, c = 9.127 Å
α = 73.36°, β = 76.24°, γ = 75.14°
Fractional coordinates of all 14 atoms:
Nd 0.000 0.500 0.500
Nd 0.298 0.184 0.220
Nd 0.702 0.816 0.780
Li 0.485 0.218 0.812
Li 0.000 0.000 0.000
Li 0.325 0.842 0.508
Li 0.515 0.782 0.188
Li 0.675 0.158 0.492
Li 0.839 0.392 0.930
Li 0.161 0.608 0.070
Ag 0.108 0.107 0.678
Ag 0.345 0.551 0.759
Ag 0.655 0.449 0.241
Ag 0.892 0.893 0.322

The final energy comes out at -2.92 eV per atom. The density of states at the Fermi level comes out at 7.81 states/eV per cell.

***

VASP calculation (PBE-GGA) on a relaxed structure of LiNdAg4.

a = 4.756 Å, b = 4.756 Å, c = 6.522 Å
α = 90.00°, β = 90.00°, γ = 120.00°
Fractional coordinates of all 6 atoms:
Nd 0.000 0.000 0.500
Ag 0.667 0.333 0.781
Ag 0.333 0.667 0.219
Ag 0.667 0.333 0.219
Ag 0.333 0.667 0.781
Li 0.000 0.000 0.000

The final energy comes out at -3.16 eV per atom. The density of states at the Fermi level comes out at 2.22 states/eV per cell.

***

VASP calculation (PBE-GGA) on a relaxed structure of LiNd8Ag2.

a = 5.361 Å, b = 7.202 Å, c = 9.573 Å
α = 106.50°, β = 106.26°, γ = 90.00°
Fractional coordinates of all 11 atoms:
Nd 0.668 0.978 0.336
Nd 0.194 0.310 0.389
Nd 0.806 0.690 0.611
Nd 0.974 0.230 0.947
Nd 0.332 0.022 0.664
Nd 0.026 0.770 0.053
Nd 0.592 0.466 0.184
Nd 0.408 0.534 0.816
Ag 0.817 0.282 0.635
Ag 0.183 0.718 0.365
Li 0.500 0.000 0.000

The final energy comes out at -4.20 eV per atom. The density of states at the Fermi level comes out at 12.63 states/eV per cell.

***

VASP calculation (PBE-GGA) on a relaxed structure of LiNdAg.

a = 4.965 Å, b = 4.965 Å, c = 6.218 Å
α = 90.00°, β = 90.00°, γ = 113.84°
Fractional coordinates of all 6 atoms:
Ag 0.000 0.000 0.000
Ag 0.000 0.000 0.500
Li 0.284 0.716 0.250
Li 0.716 0.284 0.750
Nd 0.650 0.350 0.250
Nd 0.350 0.650 0.750

The final energy comes out at -3.13 eV per atom. The density of states at the Fermi level comes out at 7.38 states/eV per cell.

***

VASP calculation (PBE-GGA) on a relaxed structure of Li4NdAg.

a = 5.479 Å, b = 5.479 Å, c = 5.479 Å
α = 60.00°, β = 60.00°, γ = 60.00°
Fractional coordinates of all 6 atoms:
Li 0.628 0.628 0.628
Li 0.628 0.116 0.628
Li 0.628 0.628 0.116
Li 0.116 0.628 0.628
Nd 0.250 0.250 0.250
Ag 0.000 0.000 0.000

The final energy comes out at -2.55 eV per atom. The density of states at the Fermi level comes out at 3.08 states/eV per cell.

***

VASP calculation (PBE-GGA) on a relaxed structure of Li2Nd3Ag4.

a = 4.515 Å, b = 5.740 Å, c = 9.218 Å
α = 96.65°, β = 90.00°, γ = 113.16°
Fractional coordinates of all 9 atoms:
Li 0.680 0.360 0.784
Li 0.320 0.640 0.216
Nd 0.000 0.000 0.000
Nd 0.374 0.749 0.615
Nd 0.626 0.251 0.385
Ag 0.083 0.167 0.642
Ag 0.717 0.434 0.083
Ag 0.917 0.833 0.358
Ag 0.283 0.566 0.917

The final energy comes out at -3.46 eV per atom. The density of states at the Fermi level comes out at 7.22 states/eV per cell.